No. 1
Computed, not measured: RbBe2CrCl8 after structural relaxation at the GGA-PBE level of DFT.

Output
DFT total energy: -4.109 eV per atom

Lattice parameters (Å, degrees): 5.946 5.946 10.426 73.43 73.43 60.00
Site moments in Bohr magnetons follow the coordinates.
Positions (direct):
Cr  0.000  0.000  0.000  2.86
Cl  0.625  0.268  0.143  -0.01
Cl  0.035  0.375  0.857  -0.01
Cl  0.965  0.625  0.143  -0.01
Cl  0.268  0.965  0.143  -0.01
Cl  0.732  0.035  0.857  -0.01
Cl  0.375  0.732  0.857  -0.01
Cl  0.197  0.197  0.408  -0.01
Cl  0.803  0.803  0.592  -0.01
Rb  0.500  0.500  0.500  0.00
Be  0.264  0.264  0.208  0.01
Be  0.736  0.736  0.792  0.01

---

No. 2
Computed, not measured: Tl3Ag2I2Br3 after structural relaxation at the GGA-PBE level of DFT.

Output
DFT total energy: -2.583 eV per atom

Lattice parameters (Å, degrees): 5.507 5.507 14.071 101.28 101.28 90.00
Positions (direct):
Br  0.114  0.114  0.228
Br  0.500  0.500  0.000
Br  0.886  0.886  0.772
I  0.750  0.250  0.500
I  0.250  0.750  0.500
Tl  0.378  0.378  0.756
Tl  0.622  0.622  0.244
Tl  0.000  0.000  0.000
Ag  0.787  0.787  0.573
Ag  0.213  0.213  0.427

---

No. 3
Computed, not measured: MnCrTcPd after structural relaxation at the GGA-PBE level of DFT.

Output
E above lowest polymorph: 79 meV/atom
Formation enthalpy at 0 K: 0.138 eV per atom

Lattice parameters (Å, degrees): 4.060 2.658 9.984 90.00 90.00 90.00
Site moments in Bohr magnetons follow the coordinates.
Positions (direct):
Mn  0.000  0.500  0.402  1.99
Mn  0.000  0.000  0.902  1.99
Cr  0.500  0.000  0.782  -1.56
Cr  0.500  0.500  0.282  -1.56
Pd  0.000  0.500  0.664  0.01
Pd  0.000  0.000  0.164  0.01
Tc  0.500  0.000  0.511  -0.19
Tc  0.500  0.500  0.011  -0.19

---

No. 4
Computed, not measured: W2Se after structural relaxation at the GGA-PBE level of DFT.

Output
E above lowest polymorph: 804 meV/atom

Lattice parameters (Å, degrees): 5.354 5.354 9.727 90.00 90.00 120.00
Positions (direct):
W  0.000  0.000  0.500
W  0.683  0.842  0.750
W  0.317  0.158  0.250
W  0.158  0.842  0.750
W  0.000  0.000  0.000
W  0.842  0.158  0.250
W  0.842  0.683  0.250
W  0.158  0.317  0.750
Se  0.333  0.667  0.539
Se  0.667  0.333  0.039
Se  0.333  0.667  0.961
Se  0.667  0.333  0.461